Record 1
A geometry-optimized ScW3I structure, computed with PBE.

Geometry as POSCAR:
```
ScW3I
1.0
-0.961 0.388 -4.758
-3.548 -3.306 0.447
-3.194 3.555 0.935
Sc I W
1 1 3
direct
0.500 0.500 0.500 Sc
0.000 0.000 0.000 I
0.000 0.000 0.500 W
0.500 0.000 0.000 W
0.000 0.500 0.000 W
```

DOS(E_F) (states/eV per cell): 7.82
Formation energy (no corrections) (meV per atom): 2313.6



Record 2
A geometry-optimized Sc3WI structure, computed with PBE.

Geometry as POSCAR:
```
Sc3WI
1.0
-4.778 1.440 1.074
-0.251 -3.557 3.653
1.778 3.367 3.400
Sc I W
3 1 1
direct
0.000 0.500 0.000 Sc
0.000 0.000 0.500 Sc
0.500 0.000 0.000 Sc
0.000 0.000 0.000 I
0.500 0.500 0.500 W
```

DOS(E_F) (states/eV per cell): 3.75
Formation energy (no corrections) (meV per atom): 1178.5



Record 3
A geometry-optimized ScW2I structure, computed with PBE.

Geometry as POSCAR:
```
ScW2I
1.0
0.000 3.324 3.324
3.324 0.000 3.324
3.324 3.324 0.000
I W Sc
1 2 1
direct
0.500 0.500 0.500 I
0.750 0.750 0.750 W
0.250 0.250 0.250 W
0.000 0.000 0.000 Sc
```

DOS(E_F) (states/eV per cell): 5.05
Formation energy (no corrections) (meV per atom): 1184.6



Record 4
A geometry-optimized ScW3I structure, computed with PBE.

Geometry as POSCAR:
```
ScW3I
1.0
4.784 0.000 0.000
0.000 4.784 0.000
0.000 0.000 4.784
W I Sc
3 1 1
direct
0.000 0.000 0.500 W
0.500 0.000 0.000 W
0.000 0.500 0.000 W
0.500 0.500 0.500 I
0.000 0.000 0.000 Sc
```

DOS(E_F) (states/eV per cell): 5.69
Formation energy (no corrections) (meV per atom): 2705.7



Record 5
A geometry-optimized ScWI2 structure, computed with PBE.

Geometry as POSCAR:
```
ScWI2
1.0
0.000 3.519 3.519
3.519 0.000 3.519
3.519 3.519 0.000
Sc I W
1 2 1
direct
0.000 0.000 0.000 Sc
0.250 0.250 0.250 I
0.750 0.750 0.750 I
0.500 0.500 0.500 W
```

DOS(E_F) (states/eV per cell): 4.37
Formation energy (no corrections) (meV per atom): 716.3



Record 6
A geometry-optimized ScW2I structure, computed with PBE.

Geometry as POSCAR:
```
ScW2I
1.0
3.887 0.000 0.000
0.000 3.887 0.000
1.944 1.944 10.888
Sc W I
2 4 2
direct
0.250 0.750 0.500 Sc
0.500 0.500 0.000 Sc
0.875 0.861 0.750 W
0.375 0.389 0.750 W
0.611 0.125 0.250 W
0.139 0.625 0.250 W
0.750 0.250 0.500 I
0.000 0.000 0.000 I
```

DOS(E_F) (states/eV per cell): 7.13
Formation energy (no corrections) (meV per atom): 917.6